Compound: MgHg2Pt
Source: Alexandria
Functional: PBE
Structure: relaxed

extended XYZ file:
```
4
Lattice="1.595 0.921 9.030 -1.595 0.921 9.030 0.000 -1.841 9.030" Properties=species:S:1:pos:R:3 pbc="T T T"
Mg 0.000 0.000 0.000
Hg 0.000 0.000 6.737
Hg 0.000 0.000 20.354
Pt 0.000 0.000 13.545
```

Output
Crystal system: trigonal

Compound: Mg4HgPt
Source: Alexandria
Functional: PBE
Structure: relaxed

extended XYZ file:
```
6
Lattice="0.000 3.893 3.893 3.893 0.000 3.893 3.893 3.893 0.000" Properties=species:S:1:pos:R:3 pbc="T T T"
Mg 0.969 0.969 0.969
Mg 2.924 2.924 0.969
Mg 2.924 0.969 2.924
Mg 0.969 2.924 2.924
Hg 3.893 3.893 3.893
Pt 5.839 5.839 5.839
```

Output
Energy above the most stable polymorph in this dataset, eV/atom: 0.4510
Crystal system: cubic

Number 1: energy of formation from the pure elements -0.05 eV per formula unit, magnetization 0.0 Bohr magnetons per cell. Number 2: energy of formation from the pure elements 0.05 eV per formula unit, magnetization 0.0 Bohr magnetons per cell.